(1)
# SrDyPa2As4 (PBE-GGA, relaxed)
data_SrDyPa2As4
_symmetry_space_group_name_H-M 'I -4 m 2'
_symmetry_Int_Tables_number 119
_symmetry_space_group_name_Hall 'I -4 -2'
_cell_length_a 5.891
_cell_length_b 5.891
_cell_length_c 11.844
_cell_angle_alpha 90.00
_cell_angle_beta 90.00
_cell_angle_gamma 90.00
loop_
_atom_site_label
_atom_site_type_symbol
_atom_site_fract_x
_atom_site_fract_y
_atom_site_fract_z
Sr1 Sr 0.000 0.000 0.000
Dy1 Dy 0.000 0.500 0.750
Pa1 Pa 0.000 0.000 0.500
Pa2 Pa 0.000 0.500 0.250
As1 As 0.000 0.000 0.259
As2 As 0.000 0.500 0.003
# - Energy of formation: -1160 meV per atom

---

(2)
# Sm2CdO2 (PBE-GGA, relaxed)
data_Sm2CdO2
_symmetry_space_group_name_H-M 'I 4/m m m'
_symmetry_Int_Tables_number 139
_symmetry_space_group_name_Hall '-I 4 2'
_cell_length_a 4.098
_cell_length_b 4.098
_cell_length_c 12.373
_cell_angle_alpha 90.00
_cell_angle_beta 90.00
_cell_angle_gamma 90.00
loop_
_atom_site_label
_atom_site_type_symbol
_atom_site_fract_x
_atom_site_fract_y
_atom_site_fract_z
Sm1 Sm 0.000 0.000 0.161
Cd1 Cd 0.000 0.000 0.500
O1 O 0.000 0.500 0.250
# - Formation energy (no corrections): -226.9 kJ per mole of atoms